1.
The following is a meta-GGA SCAN calculation of a PBEsol-optimized structure of Na2ReRu, from the Alexandria database.

```
Na2ReRu
1.0
4.562 0.000 0.000
2.281 3.950 0.000
2.281 1.317 3.724
Re Na Ru
1 2 1
direct
0.500 0.500 0.500
0.250 0.250 0.250
0.750 0.750 0.750
0.000 0.000 0.000
```

Summary:
Symmetry ... No. 225
DOS(E_F) ... 3.7 states/eV per cell
ΔH_f (0 K) ... 1844 meV per atom
VASP energy ... -106.98 eV/cell


2.
The following is a meta-GGA SCAN calculation of a PBEsol-optimized structure of Na2ReRu2, from the Alexandria database.

```
Na2ReRu2
1.0
3.218 0.000 0.000
0.000 3.218 0.000
-1.609 -1.609 7.678
Re Na Ru
1 2 2
direct
0.000 0.000 0.000
0.250 0.750 0.500
0.750 0.250 0.500
0.413 0.413 0.827
0.587 0.587 0.173
```

Summary:
Symmetry ... No. 139
DOS(E_F) ... 5.1 states/eV per cell
ΔH_f (0 K) ... 1038 meV per atom
VASP energy ... -143.99 eV/cell


3.
The following is a meta-GGA SCAN calculation of a PBEsol-optimized structure of NaReSbTe2, from the Alexandria database.

```
NaReSbTe2
1.0
5.071 0.000 0.000
0.000 5.424 0.000
0.000 0.000 5.424
Re Te Na Sb
1 2 1 1
direct
0.000 0.000 0.000
0.000 0.000 0.500
0.000 0.500 0.000
0.500 0.500 0.500
0.500 0.000 0.000
```

Summary:
Uncorrected formation energy ... 2.0 eV/f.u.
Symmetry ... No. 123
DOS(E_F) ... 4.3 states/eV per cell
VASP energy ... -185.05 eV/cell


4.
The following is a meta-GGA SCAN calculation of a PBEsol-optimized structure of Na2ReSe, from the Alexandria database.

```
Na2ReSe
1.0
4.643 0.000 0.000
2.322 6.753 0.000
2.322 0.000 6.753
Re Se Na
2 2 4
direct
0.750 0.500 0.500
0.000 0.000 0.000
0.250 0.500 0.500
0.500 0.000 0.000
0.233 0.892 0.392
0.517 0.108 0.608
0.375 0.392 0.108
0.875 0.608 0.892
```

Summary:
Uncorrected formation energy ... 2.5 eV/f.u.
Symmetry ... No. 122
DOS(E_F) ... 4.0 states/eV per cell
VASP energy ... -194.24 eV/cell


5.
The following is a meta-GGA SCAN calculation of a PBEsol-optimized structure of Na2Re3Se6, from the Alexandria database.

```
Na2Re3Se6
1.0
-7.872 3.295 4.455
-5.856 -6.411 4.157
5.776 0.880 10.395
Na Re Se
8 12 24
direct
0.427 0.573 0.250
0.573 0.427 0.750
0.784 0.216 0.250
0.216 0.784 0.750
0.666 0.102 0.506
0.898 0.334 0.994
0.334 0.898 0.494
0.102 0.666 0.006
0.307 0.008 0.033
0.992 0.693 0.467
0.693 0.992 0.967
0.008 0.307 0.533
0.481 0.111 0.131
0.889 0.519 0.369
0.519 0.889 0.869
0.111 0.481 0.631
0.600 0.810 0.081
0.190 0.400 0.419
0.400 0.190 0.919
0.810 0.600 0.581
0.237 0.084 0.831
0.916 0.763 0.669
0.763 0.916 0.169
0.084 0.237 0.331
0.702 0.798 0.422
0.202 0.298 0.078
0.298 0.202 0.578
0.798 0.702 0.922
0.608 0.069 0.767
0.931 0.392 0.733
0.392 0.931 0.233
0.069 0.608 0.267
0.574 0.281 0.017
0.719 0.426 0.483
0.426 0.719 0.983
0.281 0.574 0.517
0.005 0.052 0.590
0.948 0.995 0.910
0.995 0.948 0.410
0.052 0.005 0.090
0.462 0.263 0.312
0.737 0.538 0.188
0.538 0.737 0.688
0.263 0.462 0.812
```

Summary:
Uncorrected formation energy ... -7.4 eV/f.u.
Symmetry ... No. 15
VASP energy ... -1398.39 eV/cell


6.
The following is a meta-GGA SCAN calculation of a PBEsol-optimized structure of Na2ReSi, from the Alexandria database.

```
Na2ReSi
1.0
4.825 0.000 0.000
2.412 5.634 0.000
2.412 0.000 5.634
Re Si Na
2 2 4
direct
0.750 0.500 0.500
0.000 0.000 0.000
0.250 0.500 0.500
0.500 0.000 0.000
0.145 0.980 0.480
0.605 0.020 0.520
0.375 0.480 0.020
0.875 0.520 0.980
```

Summary:
Uncorrected formation energy ... 4.3 eV/f.u.
Symmetry ... No. 122
DOS(E_F) ... 3.3 states/eV per cell
VASP energy ... -170.43 eV/cell


7.
The following is a meta-GGA SCAN calculation of a PBEsol-optimized structure of Na3ReSi, from the Alexandria database.

```
Na3ReSi
1.0
-2.438 -4.938 0.424
4.906 -2.338 0.987
-0.703 0.812 5.418
Re Si Na
1 1 3
direct
0.000 0.000 0.000
0.500 0.500 0.500
0.000 0.500 0.000
0.000 0.000 0.500
0.500 0.000 0.000
```

Summary:
Uncorrected formation energy ... 9.7 eV/f.u.
Symmetry ... No. 221
DOS(E_F) ... 7.3 states/eV per cell
VASP energy ... -84.08 eV/cell


8.
The following is a meta-GGA SCAN calculation of a PBEsol-optimized structure of NaReSn2, from the Alexandria database.

```
NaReSn2
1.0
-4.298 -1.378 -1.418
-2.407 -3.202 2.516
-3.830 1.308 2.448
Re Sn Na
1 2 1
direct
0.500 0.500 0.500
0.250 0.250 0.250
0.750 0.750 0.750
0.000 0.000 0.000
```

Summary:
Symmetry ... No. 225
DOS(E_F) ... 2.9 states/eV per cell
ΔH_f (0 K) ... 432 meV per atom
VASP energy ... -145.43 eV/cell